# 1
Sc2BiAs: optimized geometry, PBE-GGA.

**ΔH_f (0 K)**: -1.00 eV/atom
**Raw total energy**: -6.30 eV/atom
**Calculated volume**: 95.1 Å³ per cell

a = 4.0136 Å, b = 4.0136 Å, c = 7.2031 Å
α = 106.18°, β = 90.00°, γ = 120.00°
Last column: nearest neighbours and their distance in Å.
Sites, in units of the cell vectors:
1 Sc 0.2603 0.0205 0.2805  3 As 2.76, 3 Bi 3.00-3.01
2 Sc 0.7397 0.9795 0.7195  3 As 2.76, 3 Bi 3.00-3.01
3 Bi 0.5000 0.5000 0.0000  6 Sc 3.00-3.01
4 As 0.0000 0.5000 0.5000  6 Sc 2.76

=====

# 2
Sc2BiAs2: optimized geometry, PBE-GGA.

**ΔH_f (0 K)**: -0.75 eV/atom
**Raw total energy**: -5.92 eV/atom
**E above lowest polymorph**: 0.0 meV per atom
**Calculated volume**: 111.9 Å³ per cell

a = 3.8894 Å, b = 3.8894 Å, c = 7.8892 Å
α = 75.73°, β = 75.73°, γ = 90.00°
Last column: nearest neighbours and their distance in Å.
Sites, in units of the cell vectors:
1 Sc 0.3865 0.3865 0.2271  4 As 2.80
2 Sc 0.6135 0.6135 0.7729  4 As 2.80
3 As 0.7500 0.2500 0.5000  4 As 2.75, 4 Sc 2.80
4 As 0.2500 0.7500 0.5000  4 As 2.75, 4 Sc 2.80
5 Bi 0.0000 0.0000 0.0000  8 Sc 3.22

=====

# 3
Sc3BiAs: optimized geometry, PBE-GGA.

**ΔH_f (0 K)**: -0.72 eV/atom
**Raw total energy**: -6.23 eV/atom
**E above lowest polymorph**: 0.0 meV per atom
**Calculated volume**: 250.1 Å³ per cell

a = 4.0587 Å, b = 8.0087 Å, c = 8.0093 Å
α = 73.83°, β = 90.00°, γ = 90.00°
Last column: nearest neighbours and their distance in Å.
Sites, in units of the cell vectors:
1 Sc 0.8633 0.3839 0.8040  2 As 2.65
2 Sc 0.8633 0.0045 0.6888  2 As 2.65
3 Sc 0.8632 0.6365 0.0568  2 As 2.65
4 Sc 0.3632 0.0197 0.0720  2 As 2.59
5 Sc 0.8632 0.7518 0.4361  2 As 2.65
6 Sc 0.3633 0.3686 0.4209  2 As 2.59
7 Bi 0.3632 0.6942 0.7464  8 Sc 3.14
8 Bi 0.8633 0.1942 0.2464  4 Sc 3.02
9 As 0.3632 0.6942 0.2464  6 Sc 2.59-2.65
10 As 0.3633 0.1941 0.7465  6 Sc 2.59-2.65

=====

# 4
ScBiAs2Se: optimized geometry, PBE-GGA.

**Raw total energy**: -4.00 eV/atom
**E above lowest polymorph**: 601.5 meV per atom
**Calculated volume**: 154.3 Å³ per cell
**Formation energy from raw total energies**: 0.60 eV/atom

a = 5.3247 Å, b = 5.3247 Å, c = 5.4408 Å
α = 90.00°, β = 90.00°, γ = 90.00°
Last column: nearest neighbours and their distance in Å.
Sites, in units of the cell vectors:
1 Sc 0.5000 0.5000 0.5000  4 Se 3.77, 8 As 3.81
2 As 0.0000 0.5000 0.0000  2 Bi 2.66
3 As 0.5000 0.0000 0.0000  2 Bi 2.66
4 Bi 0.0000 0.0000 0.0000  4 As 2.66, 2 Se 2.72
5 Se 0.0000 0.0000 0.5000  2 Bi 2.72

=====

# 5
ScBiAs2Se: optimized geometry, PBE-GGA.

**Raw total energy**: -4.60 eV/atom
**E above lowest polymorph**: 0.0 meV per atom
**Calculated volume**: 134.9 Å³ per cell
**Formation energy from raw total energies**: 0.00 eV/atom

a = 5.1703 Å, b = 5.1703 Å, c = 5.0482 Å
α = 90.00°, β = 90.00°, γ = 90.00°
Last column: nearest neighbours and their distance in Å.
Sites, in units of the cell vectors:
1 Sc 0.0000 0.0000 0.0000  2 Se 2.52, 4 As 2.59
2 As 0.0000 0.5000 0.0000  2 Sc 2.59
3 As 0.5000 0.0000 0.0000  2 Sc 2.59
4 Bi 0.5000 0.5000 0.5000  8 As 3.61, 4 Se 3.66
5 Se 0.0000 0.0000 0.5000  2 Sc 2.52

=====

# 6
Sc4BiAsSe2: optimized geometry, PBE-GGA.

**Raw total energy**: -6.40 eV/atom
**Calculated volume**: 178.3 Å³ per cell
**Formation energy from raw total energies**: -1.29 eV/atom

a = 3.9589 Å, b = 6.8665 Å, c = 6.9508 Å
α = 70.67°, β = 90.00°, γ = 90.00°
Last column: nearest neighbours and their distance in Å.
Sites, in units of the cell vectors:
1 Sc 0.0000 0.7614 0.7253  3 Se 2.71-2.90, 1 As 2.75, 2 Bi 2.92
2 Sc 0.0000 0.2386 0.2747  3 Se 2.71-2.90, 1 As 2.75, 2 Bi 2.92
3 Sc 0.5000 0.7465 0.2686  3 Se 2.73-2.88, 2 As 2.75, 1 Bi 2.91
4 Sc 0.5000 0.2535 0.7314  3 Se 2.73-2.88, 2 As 2.75, 1 Bi 2.91
5 Bi 0.5000 0.5000 0.0000  6 Sc 2.91-2.92
6 As 0.0000 0.5000 0.5000  6 Sc 2.75
7 Se 0.0000 0.0000 0.0000  6 Sc 2.88-2.90
8 Se 0.5000 0.0000 0.5000  6 Sc 2.71-2.73

=====

# 7
Sm2Sc2Bi2As: optimized geometry, PBE-GGA.

**ΔH_f (0 K)**: -0.77 eV/atom
**Raw total energy**: -5.70 eV/atom
**Calculated volume**: 202.2 Å³ per cell

a = 4.9437 Å, b = 4.9437 Å, c = 8.9825 Å
α = 105.97°, β = 105.97°, γ = 90.00°
Last column: nearest neighbours and their distance in Å.
Sites, in units of the cell vectors:
1 Sm 0.1717 0.1717 0.3434  1 As 2.84
2 Sm 0.8283 0.8283 0.6566  1 As 2.84
3 Sc 0.0000 0.5000 0.0000  2 As 2.47
4 Sc 0.5000 0.0000 0.0000  2 As 2.47
5 Bi 0.3673 0.3673 0.7346  5 Sm 3.24-3.55, 4 Sc 3.31
6 Bi 0.6327 0.6327 0.2654  5 Sm 3.24-3.55, 4 Sc 3.31
7 As 0.0000 0.0000 0.0000  4 Sc 2.47

=====

# 8
Sr2Sc2Bi2As: optimized geometry, PBE-GGA.

**ΔH_f (0 K)**: -0.91 eV/atom
**Raw total energy**: -4.97 eV/atom
**Calculated volume**: 223.3 Å³ per cell

a = 5.0903 Å, b = 5.0903 Å, c = 9.3392 Å
α = 105.81°, β = 105.81°, γ = 90.00°
Last column: nearest neighbours and their distance in Å.
Sites, in units of the cell vectors:
1 Sr 0.1745 0.1745 0.3490  1 As 3.01
2 Sr 0.8255 0.8255 0.6510  1 As 3.01
3 Sc 0.0000 0.5000 0.0000  2 As 2.55
4 Sc 0.5000 0.0000 0.0000  2 As 2.55
5 Bi 0.3759 0.3759 0.7517  4 Sc 3.32, 5 Sr 3.47-3.70
6 Bi 0.6241 0.6241 0.2483  4 Sc 3.32, 5 Sr 3.47-3.70
7 As 0.0000 0.0000 0.0000  4 Sc 2.55

=====

# 9
Sc4BiTe2As: optimized geometry, PBE-GGA.

**Raw total energy**: -6.10 eV/atom
**Calculated volume**: 198.8 Å³ per cell
**Formation energy from raw total energies**: -1.08 eV/atom

a = 4.0979 Å, b = 7.1484 Å, c = 7.1881 Å
α = 70.77°, β = 90.00°, γ = 90.00°
Last column: nearest neighbours and their distance in Å.
Sites, in units of the cell vectors:
1 Sc 0.0000 0.7336 0.7331  1 As 2.73, 2 Te 2.92, 2 Bi 2.93
2 Sc 0.0000 0.2664 0.2669  1 As 2.73, 2 Te 2.92, 2 Bi 2.93
3 Sc 0.5000 0.7221 0.2781  2 As 2.76, 3 Te 2.93-3.09, 1 Bi 2.93
4 Sc 0.5000 0.2779 0.7219  2 As 2.76, 3 Te 2.93-3.09, 1 Bi 2.93
5 Bi 0.5000 0.5000 0.0000  6 Sc 2.93
6 Te 0.0000 0.0000 0.0000  6 Sc 3.09-3.12
7 Te 0.5000 0.0000 0.5000  6 Sc 2.92-2.93
8 As 0.0000 0.5000 0.5000  6 Sc 2.73-2.76

=====

# 10
Sc6Bi3TeAs2: optimized geometry, PBE-GGA.

**Raw total energy**: -6.15 eV/atom
**Calculated volume**: 296.3 Å³ per cell
**Formation energy from raw total energies**: -0.98 eV/atom

a = 4.0895 Å, b = 8.2980 Å, c = 9.2233 Å
α = 103.50°, β = 102.81°, γ = 90.00°
Last column: nearest neighbours and their distance in Å.
Sites, in units of the cell vectors:
1 Sc 0.3283 0.8923 0.6566  2 As 2.79, 3 Bi 2.93-3.04, 1 Te 3.00
2 Sc 0.6740 0.5672 0.3481  3 As 2.75-2.80, 3 Bi 3.05
3 Sc 0.6717 0.1077 0.3434  2 As 2.79, 3 Bi 2.93-3.04, 1 Te 3.00
4 Sc 0.0119 0.2569 0.0239  1 As 2.74, 3 Bi 2.92-3.02, 2 Te 2.92
5 Sc 0.9881 0.7431 0.9761  1 As 2.74, 3 Bi 2.92-3.02, 2 Te 2.92
6 Sc 0.3260 0.4328 0.6519  3 As 2.75-2.80, 3 Bi 3.05
7 Bi 0.5000 0.5000 0.0000  6 Sc 2.92-3.05
8 Bi 0.8389 0.1684 0.6779  6 Sc 2.93-3.05
9 Bi 0.1611 0.8316 0.3221  6 Sc 2.93-3.05
10 Te 0.5000 0.0000 0.0000  6 Sc 2.92-3.00
11 As 0.8311 0.6652 0.6621  6 Sc 2.74-2.80
12 As 0.1689 0.3348 0.3379  6 Sc 2.74-2.80